[1]
{"formula": "Nd3Te", "functional": "PBE-GGA", "state": "optimized geometry", "crystal_system": "tetragonal", "formation_energy_uncorrected_ev_per_atom": -0.48, "relative_energy_mev_per_atom": 228.1, "cell": [[-2.406, 2.406, 5.332], [2.406, -2.406, 5.332], [2.406, 2.406, -5.332]], "species": ["Nd", "Nd", "Nd", "Te"], "fractional_positions": [[0.000, 0.000, 0.000], [0.250, 0.750, 0.500], [0.750, 0.250, 0.500], [0.500, 0.500, 0.000]]}

[2]
{"formula": "Nd4Te5", "functional": "PBE-GGA", "state": "optimized geometry", "crystal_system": "tetragonal", "formation_energy_uncorrected_ev_per_atom": -0.97, "cell": [[-6.055, 6.055, 2.021], [6.055, -6.055, 2.021], [6.055, 6.055, -2.021]], "species": ["Nd", "Nd", "Nd", "Nd", "Te", "Te", "Te", "Te", "Te"], "fractional_positions": [[0.156, 0.156, 0.312], [0.156, 0.844, 0.000], [0.844, 0.156, 0.000], [0.844, 0.844, 0.688], [0.197, 0.500, 0.697], [0.500, 0.197, 0.697], [0.500, 0.500, 0.000], [0.500, 0.803, 0.303], [0.803, 0.500, 0.303]]}

[3]
{"formula": "Nd3Te", "functional": "PBE-GGA", "state": "optimized geometry", "crystal_system": "orthorhombic", "formation_energy_uncorrected_ev_per_atom": -0.41, "relative_energy_mev_per_atom": 290.8, "cell": [[3.895, 0.000, 0.000], [0.000, 3.939, 0.000], [0.000, 0.000, 9.534]], "species": ["Nd", "Nd", "Nd", "Te"], "fractional_positions": [[0.000, 0.000, 0.000], [0.000, 0.500, 0.321], [0.500, 0.500, 0.745], [0.500, 0.000, 0.479]]}